Record 1
Here is an optimized crystal structure of Na2MgIn from Alexandria. Energies are from GGA-PBE.

Calculated values
DOS(E_F): 2.243 states/eV/f.u.
raw total energy: -1.7841 eV/atom
formation energy: -41 meV per atom
total moment: 0.00 μB per cell

abc: 3.507 5.711 11.929
angles: 100.17 89.28 108.96
Atoms (fractional coordinates):
Na 0.153 0.295 0.714
Na 0.847 0.705 0.286
Na 0.612 0.228 0.414
Na 0.388 0.772 0.586
Mg 0.631 0.261 0.948
Mg 0.369 0.739 0.052
In 0.099 0.212 0.161
In 0.901 0.788 0.839

=====

Record 2
Here is an optimized crystal structure of NaMg2In4 from Alexandria. Energies are from GGA-PBE.

Calculated values
DOS(E_F): 2.384 states/eV/f.u.
raw total energy: -2.2938 eV/atom
formation energy: -85 meV per atom
total moment: 0.00 μB per cell

abc: 5.004 3.341 10.941
angles: 98.78 103.22 90.00
Atoms (fractional coordinates):
Na 0.500 0.000 0.000
Mg 0.795 0.795 0.589
Mg 0.205 0.205 0.411
In 0.654 0.654 0.307
In 0.346 0.346 0.693
In 0.073 0.573 0.147
In 0.927 0.427 0.853

=====

Record 3
Here is an optimized crystal structure of NaMg3In2 from Alexandria. Energies are from GGA-PBE.

Calculated values
DOS(E_F): 2.059 states/eV/f.u.
raw total energy: -1.9799 eV/atom
formation energy: -50 meV per atom
excess energy over the best structure of this formula in the dataset: 0 meV/atom
total moment: 0.00 μB per cell

abc: 5.067 7.622 9.599
angles: 116.06 90.00 109.41
Atoms (fractional coordinates):
Na 0.854 0.709 0.974
Na 0.146 0.291 0.026
Mg 0.299 0.598 0.477
Mg 0.949 0.897 0.642
Mg 0.579 0.159 0.693
Mg 0.421 0.841 0.307
Mg 0.051 0.103 0.358
Mg 0.701 0.402 0.523
In 0.437 0.874 0.831
In 0.563 0.126 0.169
In 0.800 0.599 0.286
In 0.200 0.401 0.714

=====

Which value of formation energy does entry 2 give?
-85 meV per atom

=====

Copy entry 2 word for word.
Here is an optimized crystal structure of NaMg2In4 from Alexandria. Energies are from GGA-PBE.

Calculated values
DOS(E_F): 2.384 states/eV/f.u.
raw total energy: -2.2938 eV/atom
formation energy: -85 meV per atom
total moment: 0.00 μB per cell

abc: 5.004 3.341 10.941
angles: 98.78 103.22 90.00
Atoms (fractional coordinates):
Na 0.500 0.000 0.000
Mg 0.795 0.795 0.589
Mg 0.205 0.205 0.411
In 0.654 0.654 0.307
In 0.346 0.346 0.693
In 0.073 0.573 0.147
In 0.927 0.427 0.853